Here is a relaxed structure of YHfAlCd from Alexandria via LeMat-Bulk. Energies are from PBE-GGA.

The energy relative to the elements is -0.177 eV/atom. Its volume is 22.23 A^3/atom. The value obtained for the total energy is -21.784 eV for the cell shown.

Cell: 5.0099 5.0099 5.0099 Å, 60.00 60.00 60.00°
Closest atoms and distances in Å follow each position.
Fractional coordinates of all 4 atoms:
Cd  0.7500  0.7500  0.7500  4 Y 3.07, 4 Hf 3.07
Al  0.2500  0.2500  0.2500  4 Hf 3.07, 4 Y 3.07
Hf  0.0000  0.0000  0.0000  4 Cd 3.07, 4 Al 3.07
Y  0.5000  0.5000  0.5000  4 Cd 3.07, 4 Al 3.07

=====

Here is a relaxed structure of HfAlZn2Cd from Alexandria via LeMat-Bulk. Energies are from PBE-GGA.

The energy relative to the elements is 0.682 eV/atom. Its volume is 21.26 A^3/atom. The value obtained for the total energy is -13.747 eV for the cell shown.

Cell: 4.6533 4.9092 4.6533 Å, 90.00 90.00 90.00°
Closest atoms and distances in Å follow each position.
Fractional coordinates of all 5 atoms:
Hf  0.5000  0.5000  0.5000  4 Cd 3.29, 8 Zn 3.38
Zn  0.5000  0.0000  0.0000  2 Al 2.33
Zn  0.0000  0.0000  0.5000  2 Al 2.33
Cd  0.0000  0.5000  0.0000  2 Al 2.45
Al  0.0000  0.0000  0.0000  4 Zn 2.33, 2 Cd 2.45

=====

Here is a relaxed structure of AlCd12Hg6 from Alexandria via LeMat-Bulk. Energies are from PBE-GGA.

The energy relative to the elements is 0.039 eV/atom. Its volume is 23.72 A^3/atom. The value obtained for the total energy is -15.785 eV for the cell shown.

Cell: 7.8713 7.8713 7.8713 Å, 76.08 76.08 76.08°
Closest atoms and distances in Å follow each position.
Fractional coordinates of all 19 atoms:
Cd  0.4867  0.4856  0.8109  3 Hg 3.05-3.11, 7 Cd 3.10-3.28
Hg  0.7702  0.7716  0.1512  1 Al 2.72, 2 Cd 3.05
Cd  0.5133  0.5144  0.1891  3 Hg 3.05-3.11, 7 Cd 3.10-3.28
Al  0.0000  0.0000  0.0000  6 Hg 2.72
Hg  0.8488  0.2298  0.2284  1 Al 2.72, 2 Cd 3.05
Cd  0.5144  0.1891  0.5133  3 Hg 3.05-3.11, 7 Cd 3.10-3.28
Cd  0.8638  0.5245  0.8636  5 Hg 3.17-3.47, 7 Cd 3.19-3.29
Hg  0.2298  0.2284  0.8488  1 Al 2.72, 2 Cd 3.05
Hg  0.7716  0.1512  0.7702  1 Al 2.72, 2 Cd 3.05
Cd  0.8109  0.4867  0.4856  3 Hg 3.05-3.11, 7 Cd 3.10-3.28
Cd  0.5245  0.8636  0.8638  5 Hg 3.17-3.47, 7 Cd 3.19-3.29
Cd  0.1891  0.5133  0.5144  3 Hg 3.05-3.11, 7 Cd 3.10-3.28
Hg  0.2284  0.8488  0.2298  1 Al 2.72, 2 Cd 3.05
Cd  0.1362  0.4755  0.1364  5 Hg 3.17-3.47, 7 Cd 3.19-3.29
Cd  0.8636  0.8638  0.5245  5 Hg 3.17-3.47, 7 Cd 3.19-3.29
Cd  0.4755  0.1364  0.1362  5 Hg 3.17-3.47, 7 Cd 3.19-3.29
Cd  0.4856  0.8109  0.4867  3 Hg 3.05-3.11, 7 Cd 3.10-3.28
Cd  0.1364  0.1362  0.4755  5 Hg 3.17-3.47, 7 Cd 3.19-3.29
Hg  0.1512  0.7702  0.7716  1 Al 2.72, 2 Cd 3.05

=====

Here is a relaxed structure of AlCd2Hg from Alexandria via LeMat-Bulk. Energies are from PBE-GGA.

The distance to the lowest polymorph of the same formula comes out at 0.22 eV/f.u. The energy relative to the elements is 0.145 eV/atom. Its volume is 22.47 A^3/atom. The value obtained for the total energy is -5.295 eV for the cell shown.

Cell: 5.0281 5.0281 5.0281 Å, 60.00 60.00 60.00°
Closest atoms and distances in Å follow each position.
Fractional coordinates of all 4 atoms:
Al  0.5000  0.5000  0.5000  4 Hg 3.08, 4 Cd 3.08
Cd  0.2500  0.2500  0.2500  4 Cd 3.08, 4 Al 3.08
Hg  0.7500  0.7500  0.7500  4 Cd 3.08, 4 Al 3.08
Cd  0.0000  0.0000  0.0000  4 Hg 3.08, 4 Cd 3.08

=====

Here is a relaxed structure of AlCdHg2 from Alexandria via LeMat-Bulk. Energies are from PBE-GGA.

The energy relative to the elements is 0.146 eV/atom. Its volume is 23.45 A^3/atom. The value obtained for the total energy is -4.678 eV for the cell shown.

Cell: 5.8271 5.8271 3.2552 Å, 73.44 73.44 105.70°
Closest atoms and distances in Å follow each position.
Fractional coordinates of all 4 atoms:
Hg  0.0000  0.0000  0.0000  2 Cd 2.90, 2 Al 2.90
Al  0.5000  0.0000  0.5000  4 Hg 2.90
Hg  0.5000  0.5000  0.0000  2 Al 2.90, 2 Cd 2.90
Cd  0.0000  0.5000  0.5000  4 Hg 2.90

=====

Here is a relaxed structure of AlCd2Hg from Alexandria via LeMat-Bulk. Energies are from PBE-GGA.

The distance to the lowest polymorph of the same formula comes out at 0.06 eV/f.u. The energy relative to the elements is 0.103 eV/atom. Its volume is 21.70 A^3/atom. The value obtained for the total energy is -5.461 eV for the cell shown.

Cell: 3.1476 3.1476 8.7616 Å, 90.00 90.00 90.00°
Closest atoms and distances in Å follow each position.
Fractional coordinates of all 4 atoms:
Hg  0.0000  0.0000  0.5147  4 Al 3.05, 4 Hg 3.15, 4 Cd 3.24
Cd  0.0000  0.0000  0.9872  4 Al 3.03, 8 Cd 3.15-3.18
Cd  0.5000  0.5000  0.2460  8 Cd 3.15-3.18, 4 Hg 3.24
Al  0.5000  0.5000  0.7521  4 Cd 3.03, 4 Hg 3.05, 4 Al 3.15

=====

Here is a relaxed structure of AlCd2Hg from Alexandria via LeMat-Bulk. Energies are from PBE-GGA.

The distance to the lowest polymorph of the same formula comes out at 0.06 eV/f.u. The energy relative to the elements is 0.105 eV/atom. Its volume is 23.21 A^3/atom. The value obtained for the total energy is -5.454 eV for the cell shown.

Cell: 7.0732 7.0732 7.0732 Å, 155.85 139.97 47.30°
Closest atoms and distances in Å follow each position.
Fractional coordinates of all 4 atoms:
Hg  0.7500  0.2500  0.5000  4 Al 2.84, 2 Hg 2.96
Cd  0.0476  0.0476  0.0000  6 Cd 2.96-3.09, 2 Al 3.01
Al  0.2500  0.7500  0.5000  4 Hg 2.84, 2 Al 2.96, 4 Cd 3.01
Cd  0.4524  0.4524  0.0000  6 Cd 2.96-3.09, 2 Al 3.01

=====

Here is a relaxed structure of AlCdHg2 from Alexandria via LeMat-Bulk. Energies are from PBE-GGA.

The energy relative to the elements is 0.093 eV/atom. Its volume is 22.89 A^3/atom. The value obtained for the total energy is -4.890 eV for the cell shown.

Cell: 4.6698 4.6698 6.1700 Å, 77.67 77.67 44.36°
Closest atoms and distances in Å follow each position.
Fractional coordinates of all 4 atoms:
Al  0.2500  0.2500  0.2500  6 Hg 2.86-2.89
Hg  0.5055  0.5055  0.4797  3 Al 2.86-2.89, 3 Cd 2.98-3.01
Cd  0.7500  0.7500  0.7500  6 Hg 2.98-3.01
Hg  0.9945  0.9945  0.0203  3 Al 2.86-2.89, 3 Cd 2.98-3.01

=====

Here is a relaxed structure of AlCdHg from Alexandria via LeMat-Bulk. Energies are from PBE-GGA.

The energy relative to the elements is 0.129 eV/atom. Its volume is 21.54 A^3/atom. The value obtained for the total energy is -4.572 eV for the cell shown.

Cell: 3.3639 3.3639 6.5945 Å, 90.00 90.00 120.00°
Closest atoms and distances in Å follow each position.
Fractional coordinates of all 3 atoms:
Cd  0.6667  0.3333  0.3252  3 Al 2.92, 3 Hg 3.04
Al  0.0000  0.0000  0.9954  3 Hg 2.85, 3 Cd 2.92
Hg  0.3333  0.6667  0.6795  3 Al 2.85, 3 Cd 3.04

=====

Here is a relaxed structure of Al2Cd2Hg from Alexandria via LeMat-Bulk. Energies are from PBE-GGA.

The distance to the lowest polymorph of the same formula comes out at 0.00 eV/f.u. The energy relative to the elements is 0.142 eV/atom. Its volume is 21.87 A^3/atom. The value obtained for the total energy is -17.816 eV for the cell shown.

Cell: 6.9726 6.9726 4.4975 Å, 90.00 90.00 90.00°
Closest atoms and distances in Å follow each position.
Fractional coordinates of all 10 atoms:
Al  0.8642  0.6358  0.0000  1 Al 2.68, 2 Hg 2.71, 2 Cd 2.97
Hg  0.0000  0.0000  0.0000  4 Al 2.71
Al  0.1358  0.3642  0.0000  1 Al 2.68, 2 Hg 2.71, 2 Cd 2.97
Cd  0.3332  0.1668  0.5000  6 Al 2.97-3.09, 1 Cd 3.29
Al  0.3642  0.8642  0.0000  1 Al 2.68, 2 Hg 2.71, 2 Cd 2.97
Hg  0.5000  0.5000  0.0000  4 Al 2.71
Cd  0.1668  0.6668  0.5000  6 Al 2.97-3.09, 1 Cd 3.29
Cd  0.8332  0.3332  0.5000  6 Al 2.97-3.09, 1 Cd 3.29
Al  0.6358  0.1358  0.0000  1 Al 2.68, 2 Hg 2.71, 2 Cd 2.97
Cd  0.6668  0.8332  0.5000  6 Al 2.97-3.09, 1 Cd 3.29

=====

Here is a relaxed structure of AlCd2Hg from Alexandria via LeMat-Bulk. Energies are from PBE-GGA.

The distance to the lowest polymorph of the same formula comes out at 0.09 eV/f.u. The energy relative to the elements is 0.112 eV/atom. Its volume is 22.43 A^3/atom. The value obtained for the total energy is -5.426 eV for the cell shown.

Cell: 3.2162 3.2162 10.7954 Å, 90.00 90.00 126.53°
Closest atoms and distances in Å follow each position.
Fractional coordinates of all 4 atoms:
Hg  0.5000  0.5000  0.2500  6 Hg 2.89-3.22, 4 Cd 3.17
Cd  0.0000  0.0000  0.5112  6 Cd 2.89-3.22, 2 Al 2.96, 2 Hg 3.17
Cd  0.0000  0.0000  0.9888  6 Cd 2.89-3.22, 2 Al 2.96, 2 Hg 3.17
Al  0.5000  0.5000  0.7500  6 Al 2.89-3.22, 4 Cd 2.96

=====

Here is a relaxed structure of AlCdHg2 from Alexandria via LeMat-Bulk. Energies are from PBE-GGA.

The energy relative to the elements is 0.149 eV/atom. Its volume is 23.05 A^3/atom. The value obtained for the total energy is -4.665 eV for the cell shown.

Cell: 3.5434 3.5434 7.3418 Å, 90.00 90.00 90.00°
Closest atoms and distances in Å follow each position.
Fractional coordinates of all 4 atoms:
Cd  0.5000  0.5000  0.7325  4 Al 3.06, 5 Hg 3.15-3.32
Hg  0.0000  0.0000  0.9934  4 Cd 3.15, 4 Hg 3.27
Al  0.0000  0.0000  0.4941  4 Hg 2.96, 4 Cd 3.06
Hg  0.5000  0.5000  0.2800  4 Al 2.96, 4 Hg 3.27

=====

Here is a relaxed structure of AlCdHg2 from Alexandria via LeMat-Bulk. Energies are from PBE-GGA.

The energy relative to the elements is 0.096 eV/atom. Its volume is 22.93 A^3/atom. The value obtained for the total energy is -4.878 eV for the cell shown.

Cell: 3.5659 3.5659 8.5803 Å, 78.01 78.01 60.00°
Closest atoms and distances in Å follow each position.
Fractional coordinates of all 4 atoms:
Al  0.6669  0.6669  0.9993  6 Hg 2.81-2.82
Hg  0.2564  0.2564  0.2308  3 Al 2.82, 3 Cd 3.05
Cd  0.4997  0.4997  0.5009  6 Hg 3.04-3.05
Hg  0.0770  0.0770  0.7691  3 Al 2.81, 3 Cd 3.04

=====

Here is a relaxed structure of AlCdHg2 from Alexandria via LeMat-Bulk. Energies are from PBE-GGA.

The energy relative to the elements is 0.175 eV/atom. Its volume is 23.02 A^3/atom. The value obtained for the total energy is -4.562 eV for the cell shown.

Cell: 5.0687 5.0687 5.0687 Å, 60.00 60.00 60.00°
Closest atoms and distances in Å follow each position.
Fractional coordinates of all 4 atoms:
Hg  0.2500  0.2500  0.2500  4 Al 3.10, 4 Hg 3.10
Al  0.5000  0.5000  0.5000  4 Cd 3.10, 4 Hg 3.10
Hg  0.0000  0.0000  0.0000  4 Hg 3.10, 4 Cd 3.10
Cd  0.7500  0.7500  0.7500  4 Al 3.10, 4 Hg 3.10